CuMoSeBr2 | PBE | optimized geometry

Computed properties:
D(E_F) in states/eV/f.u.: 2.133
Relative energy among the computed polymorphs in meV/atom: 0
E_form (uncorrected) in eV/atom: 0.4152
Total magnetization in μB per cell: 2.32
DFT total energy in eV per atom: -3.94
ρ in kg/m³: 4882

Structure (POSCAR):
```
CuMoSeBr2
1.0
5.2807 0.0000 0.0000
0.0000 5.2807 0.0000
0.0000 0.0000 4.8577
Cu Mo Se Br
1 1 1 2
Direct
0.0000 0.0000 0.0000
0.5000 0.5000 0.5000
0.5000 0.5000 0.0000
0.0000 0.5000 0.5000
0.5000 0.0000 0.5000
```

=====

Ir2Pt2Rh7 | PBE | optimized geometry

Computed properties:
Energy of formation from the pure elements in eV per atom: 0.204
D(E_F) in states/eV/f.u.: 19.586
Relative energy among the computed polymorphs in meV/atom: 0
Total magnetization in μB per cell: 0.00
DFT total energy in eV per atom: -7.18
ρ in kg/m³: 14909

Structure (POSCAR):
```
Ir2Pt2Rh7
1.0
3.4981 -3.6881 0.0000
3.4981 3.6881 0.0000
-1.2462 0.0000 6.4529
Ir Pt Rh
2 2 7
Direct
0.1862 0.8138 0.0000
0.8138 0.1862 0.0000
0.1046 0.1046 0.3513
0.8954 0.8954 0.6487
0.0367 0.4146 0.7001
0.3435 0.3435 0.0778
0.4146 0.0367 0.7001
0.5000 0.5000 0.5000
0.5854 0.9633 0.2999
0.6565 0.6565 0.9222
0.9633 0.5854 0.2999
```

=====

LiEr2 | PBE | optimized geometry

Computed properties:
Energy of formation from the pure elements in eV per atom: 0.098
D(E_F) in states/eV/f.u.: 4.567
Relative energy among the computed polymorphs in meV/atom: 0
Total magnetization in μB per cell: 0.04
DFT total energy in eV per atom: -3.58
ρ in kg/m³: 7037

Structure (POSCAR):
```
LiEr2
1.0
-1.7970 1.7970 6.2374
1.7970 -1.7970 6.2374
1.7970 1.7970 -6.2374
Li Er
1 2
Direct
0.0000 0.0000 0.0000
0.3450 0.3450 0.0000
0.6550 0.6550 0.0000
```

=====

B2OsS | PBE | optimized geometry

Computed properties:
D(E_F) in states/eV/f.u.: 0.671
E_form (uncorrected) in eV/atom: 0.4416
Total magnetization in μB per cell: 0.00
DFT total energy in eV per atom: -6.74
ρ in kg/m³: 7948

Structure (POSCAR):
```
B2OsS
1.0
-2.3735 2.3735 4.5226
2.3735 -2.3735 4.5226
2.3735 2.3735 -4.5226
B Os S
4 2 2
Direct
0.1125 0.6250 0.9875
0.3750 0.3625 0.4875
0.6375 0.1250 0.0125
0.8750 0.8875 0.5125
0.2500 0.7500 0.5000
0.5000 0.5000 0.0000
0.0000 0.0000 0.0000
0.7500 0.2500 0.5000
```

=====

HoScAgRh | PBE | optimized geometry

Computed properties:
Energy of formation from the pure elements in eV per atom: -0.577
D(E_F) in states/eV/f.u.: 3.613
Total magnetization in μB per cell: 0.00
DFT total energy in eV per atom: -5.86
ρ in kg/m³: 8696

Structure (POSCAR):
```
HoScAgRh
1.0
0.0000 3.4246 3.4246
3.4246 0.0000 3.4246
3.4246 3.4246 0.0000
Ho Sc Ag Rh
1 1 1 1
Direct
0.0000 0.0000 0.0000
0.5000 0.5000 0.5000
0.2500 0.2500 0.2500
0.7500 0.7500 0.7500
```